Crystalline Dy2HgSb at its relaxed geometry, computed with PBE-GGA.

Calculated values
The relative energy among the computed polymorphs comes out at 0 meV per atom.

Unit cell a=4.5650 b=4.1524 c=12.1790 alpha=99.82 beta=90.00 gamma=90.00
Closest atoms and distances in Å follow each position.
Sites, in units of the cell vectors:
Dy  0.7500  0.6817  0.3633  5 Sb 3.09, 1 Hg 3.31
Dy  0.2500  0.3183  0.6367  5 Sb 3.09, 1 Hg 3.31
Dy  0.7500  0.9355  0.8710  1 Sb 3.01, 6 Hg 3.12-3.33
Dy  0.2500  0.0645  0.1290  1 Sb 3.01, 6 Hg 3.12-3.33
Hg  0.2500  0.4560  0.9121  2 Hg 3.11, 7 Dy 3.12-3.33
Hg  0.7500  0.5440  0.0879  2 Hg 3.11, 7 Dy 3.12-3.33
Sb  0.2500  0.1898  0.3795  6 Dy 3.01-3.09
Sb  0.7500  0.8102  0.6205  6 Dy 3.01-3.09


Crystalline Cd2Cu2Sb at its relaxed geometry, computed with PBE-GGA.

Calculated values
The relative energy among the computed polymorphs comes out at 3 meV per atom.

Unit cell a=7.7448 b=7.7448 c=3.1776 alpha=90.00 beta=90.00 gamma=90.00
Closest atoms and distances in Å follow each position.
Sites, in units of the cell vectors:
Sb  0.0000  0.0000  0.0000  4 Cu 3.07, 2 Sb 3.18, 8 Cd 3.29
Sb  0.5000  0.5000  0.0000  4 Cu 3.07, 2 Sb 3.18, 8 Cd 3.29
Cu  0.3761  0.8761  0.0000  1 Cu 2.71, 6 Cd 2.78
Cu  0.8761  0.6239  0.0000  1 Cu 2.71, 6 Cd 2.78
Cu  0.6239  0.1239  0.0000  1 Cu 2.71, 6 Cd 2.78
Cu  0.1239  0.3761  0.0000  1 Cu 2.71, 6 Cd 2.78
Cd  0.1678  0.6678  0.5000  6 Cu 2.78
Cd  0.6678  0.8322  0.5000  6 Cu 2.78
Cd  0.8322  0.3322  0.5000  6 Cu 2.78
Cd  0.3322  0.1678  0.5000  6 Cu 2.78


Crystalline Sr3Ga2Rh at its relaxed geometry, computed with PBE-GGA.

Calculated values
As for the formation energy: -0.43 eV per atom.

Unit cell a=4.4117 b=13.2650 c=12.5721 alpha=90.00 beta=90.00 gamma=90.00
Closest atoms and distances in Å follow each position.
Sites, in units of the cell vectors:
Sr  0.2500  0.3784  0.0638  1 Rh 3.26, 4 Ga 3.39-3.46
Sr  0.7500  0.6216  0.9362  1 Rh 3.26, 4 Ga 3.39-3.46
Sr  0.7500  0.8784  0.4362  1 Rh 3.26, 4 Ga 3.39-3.46
Sr  0.2500  0.1216  0.5638  1 Rh 3.26, 4 Ga 3.39-3.46
Sr  0.2500  0.7081  0.2082  2 Rh 3.17, 4 Ga 3.19-3.41
Sr  0.7500  0.2919  0.7918  2 Rh 3.17, 4 Ga 3.19-3.41
Sr  0.7500  0.2081  0.2918  2 Rh 3.17, 4 Ga 3.19-3.41
Sr  0.2500  0.7919  0.7082  2 Rh 3.17, 4 Ga 3.19-3.41
Sr  0.2500  0.4490  0.3877  3 Rh 3.21-3.36, 5 Ga 3.27-3.42
Sr  0.7500  0.5510  0.6123  3 Rh 3.21-3.36, 5 Ga 3.27-3.42
Sr  0.7500  0.9490  0.1123  3 Rh 3.21-3.36, 5 Ga 3.27-3.42
Sr  0.2500  0.0510  0.8877  3 Rh 3.21-3.36, 5 Ga 3.27-3.42
Ga  0.2500  0.6857  0.4610  2 Rh 2.53
Ga  0.7500  0.3143  0.5390  2 Rh 2.53
Ga  0.7500  0.1857  0.0390  2 Rh 2.53
Ga  0.2500  0.8143  0.9610  2 Rh 2.53
Ga  0.2500  0.0218  0.2878  1 Rh 2.57
Ga  0.7500  0.9782  0.7122  1 Rh 2.57
Ga  0.7500  0.5218  0.2122  1 Rh 2.57
Ga  0.2500  0.4782  0.7878  1 Rh 2.57
Rh  0.2500  0.1397  0.1252  3 Ga 2.53-2.57
Rh  0.7500  0.8603  0.8748  3 Ga 2.53-2.57
Rh  0.7500  0.6397  0.3748  3 Ga 2.53-2.57
Rh  0.2500  0.3603  0.6252  3 Ga 2.53-2.57


Crystalline CaZr2Co at its relaxed geometry, computed with PBE-GGA.

Calculated values
The relative energy among the computed polymorphs comes out at 107 meV per atom. As for the formation energy: 0.14 eV per atom.

Unit cell a=5.6974 b=5.6974 c=5.9678 alpha=59.10 beta=59.10 gamma=34.18
Closest atoms and distances in Å follow each position.
Sites, in units of the cell vectors:
Ca  0.5547  0.5547  0.5006  3 Co 2.99-3.03, 1 Zr 3.28, 2 Ca 3.35
Co  0.2836  0.2836  0.0550  4 Zr 2.50-2.56
Zr  0.9346  0.9346  0.1323  2 Co 2.56
Zr  0.7271  0.7271  0.8121  2 Co 2.50


no.,final energy (eV for the cell shown),Fermi-level density of states (states/eV per cell)
1,-33.27,3.55
2,-26.77,3.66
3,-84.24,21.71
4,-25.64,4.25